1.
Entry from Alexandria via LeMat-Bulk: Tm2ScUN4 after structural relaxation (GGA-PBE).

Output
**Symmetry**: P2/m (10)
**Uncorrected formation energy**: -13.59 eV/f.u.
**Crystal system**: monoclinic

Cell and atoms, written as POSCAR:
```
Tm2ScUN4
1.0
5.794 0.000 0.000
0.000 3.369 0.000
-1.869 0.000 5.509
Tm Sc U N
2 1 1 4
direct
0.000 0.000 0.000 Tm
0.500 0.500 0.000 Tm
0.000 0.500 0.500 Sc
0.500 0.000 0.500 U
0.249 0.500 0.258 N
0.252 0.000 0.735 N
0.748 0.000 0.265 N
0.751 0.500 0.742 N
```

2.
Entry from Alexandria via LeMat-Bulk: YTm2ScN4 after structural relaxation (GGA-PBE).

Output
**Symmetry**: P2/m (10)
**Uncorrected formation energy**: -14.23 eV/f.u.
**Crystal system**: monoclinic

Cell and atoms, written as POSCAR:
```
YTm2ScN4
1.0
5.843 0.000 0.000
0.000 3.377 0.000
-1.943 0.000 5.511
Y Tm Sc N
1 2 1 4
direct
0.000 0.000 0.000 Y
0.000 0.500 0.500 Tm
0.500 0.000 0.500 Tm
0.500 0.500 0.000 Sc
0.256 0.500 0.250 N
0.258 0.000 0.754 N
0.742 0.000 0.246 N
0.744 0.500 0.750 N
```

3.
Entry from Alexandria via LeMat-Bulk: TmSc2ZnN after structural relaxation (GGA-PBE).

Output
**Symmetry**: P4/mmm (123)
**Uncorrected formation energy**: -4.61 eV/f.u.
**Crystal system**: tetragonal

Cell and atoms, written as POSCAR:
```
TmSc2ZnN
1.0
4.425 0.000 0.000
0.000 4.425 0.000
0.000 0.000 4.671
Tm Sc Zn N
1 2 1 1
direct
0.000 0.000 0.000 Tm
0.000 0.500 0.500 Sc
0.500 0.000 0.500 Sc
0.500 0.500 0.000 Zn
0.000 0.000 0.500 N
```

4.
Entry from Alexandria via LeMat-Bulk: TmZrSc2N4 after structural relaxation (GGA-PBE).

Output
**Symmetry**: P2/m (10)
**Uncorrected formation energy**: -14.87 eV/f.u.
**Crystal system**: monoclinic

Cell and atoms, written as POSCAR:
```
TmZrSc2N4
1.0
5.632 0.000 0.000
0.000 3.263 0.000
-1.879 0.000 5.338
Tm Zr Sc N
1 1 2 4
direct
0.000 0.000 0.000 Tm
0.000 0.500 0.500 Zr
0.500 0.000 0.500 Sc
0.500 0.500 0.000 Sc
0.253 0.000 0.745 N
0.256 0.500 0.259 N
0.744 0.500 0.741 N
0.747 0.000 0.255 N
```

5.
Entry from Alexandria via LeMat-Bulk: Tm3Zr4ScN8 after structural relaxation (GGA-PBE).

Output
**Symmetry**: R-3m (166)
**Uncorrected formation energy**: -28.68 eV/f.u.
**Crystal system**: trigonal

Cell and atoms, written as POSCAR:
```
Tm3Zr4ScN8
1.0
3.290 1.900 5.423
-3.290 1.900 5.423
0.000 -3.799 5.423
Tm Zr Sc N
3 4 1 8
direct
0.000 0.500 0.500 Tm
0.500 0.000 0.500 Tm
0.500 0.500 0.000 Tm
0.000 0.000 0.500 Zr
0.000 0.500 0.000 Zr
0.500 0.000 0.000 Zr
0.500 0.500 0.500 Zr
0.000 0.000 0.000 Sc
0.243 0.750 0.750 N
0.247 0.247 0.247 N
0.250 0.250 0.757 N
0.250 0.757 0.250 N
0.750 0.243 0.750 N
0.750 0.750 0.243 N
0.753 0.753 0.753 N
0.757 0.250 0.250 N
```

6.
Entry from Alexandria via LeMat-Bulk: Tm2Zr3ScN6 after structural relaxation (GGA-PBE).

Output
**Symmetry**: C2/m (12)
**Uncorrected formation energy**: -21.55 eV/f.u.
**Crystal system**: monoclinic

Cell and atoms, written as POSCAR:
```
Tm2Zr3ScN6
1.0
2.849 -4.924 0.000
2.849 4.924 0.000
-1.904 0.000 5.399
Tm Zr Sc N
2 3 1 6
direct
0.167 0.833 0.000 Tm
0.833 0.167 0.000 Tm
0.000 0.000 0.500 Zr
0.334 0.666 0.500 Zr
0.666 0.334 0.500 Zr
0.500 0.500 0.000 Sc
0.087 0.414 0.744 N
0.258 0.258 0.257 N
0.414 0.087 0.744 N
0.586 0.913 0.256 N
0.742 0.742 0.743 N
0.913 0.586 0.256 N
```

7.
Entry from Alexandria via LeMat-Bulk: TmZr3Sc2N6 after structural relaxation (GGA-PBE).

Output
**Symmetry**: C2/m (12)
**Uncorrected formation energy**: -21.73 eV/f.u.
**Crystal system**: monoclinic

Cell and atoms, written as POSCAR:
```
TmZr3Sc2N6
1.0
2.825 -4.882 0.000
2.825 4.882 0.000
-1.888 0.000 5.341
Tm Zr Sc N
1 3 2 6
direct
0.000 0.000 0.000 Tm
0.168 0.832 0.500 Zr
0.500 0.500 0.500 Zr
0.832 0.168 0.500 Zr
0.334 0.666 0.000 Sc
0.666 0.334 0.000 Sc
0.084 0.424 0.253 N
0.255 0.255 0.748 N
0.424 0.084 0.253 N
0.576 0.916 0.747 N
0.745 0.745 0.252 N
0.916 0.576 0.747 N
```

8.
Entry from Alexandria via LeMat-Bulk: Sc3UN4 after structural relaxation (GGA-PBE).

Output
**Symmetry**: Pmmn (59)
**Uncorrected formation energy**: -12.60 eV/f.u.
**Crystal system**: orthorhombic

Cell and atoms, written as POSCAR:
```
Sc3UN4
1.0
4.631 0.000 0.000
0.000 7.530 0.000
0.000 0.000 6.681
Sc U N
6 2 8
direct
0.250 0.005 0.159 Sc
0.250 0.495 0.159 Sc
0.250 0.750 0.685 Sc
0.750 0.250 0.315 Sc
0.750 0.505 0.841 Sc
0.750 0.995 0.841 Sc
0.250 0.250 0.653 U
0.750 0.750 0.347 U
0.250 0.004 0.838 N
0.250 0.250 0.317 N
0.250 0.496 0.838 N
0.250 0.750 0.344 N
0.750 0.250 0.656 N
0.750 0.504 0.162 N
0.750 0.750 0.683 N
0.750 0.996 0.162 N
```

9.
Entry from Alexandria via LeMat-Bulk: Sc3UN4 after structural relaxation (GGA-PBE).

Output
**Symmetry**: Cmmm (65)
**Uncorrected formation energy**: -13.93 eV/f.u.
**Crystal system**: orthorhombic

Cell and atoms, written as POSCAR:
```
Sc3UN4
1.0
3.287 -4.592 0.000
3.287 4.592 0.000
0.000 0.000 3.270
Sc U N
3 1 4
direct
0.000 0.000 0.000 Sc
0.000 0.500 0.500 Sc
0.500 0.000 0.500 Sc
0.500 0.500 0.000 U
0.244 0.244 0.500 N
0.254 0.746 0.000 N
0.746 0.254 0.000 N
0.756 0.756 0.500 N
```

10.
Entry from Alexandria via LeMat-Bulk: Sc2UN3 after structural relaxation (GGA-PBE).

Output
**Symmetry**: Pnma (62)
**Uncorrected formation energy**: -10.07 eV/f.u.
**Crystal system**: orthorhombic

Cell and atoms, written as POSCAR:
```
Sc2UN3
1.0
6.591 0.000 0.000
0.000 4.665 0.000
0.000 0.000 9.841
Sc U N
8 4 12
direct
0.120 0.250 0.247 Sc
0.123 0.250 0.917 Sc
0.377 0.750 0.417 Sc
0.380 0.750 0.747 Sc
0.620 0.250 0.253 Sc
0.623 0.250 0.583 Sc
0.877 0.750 0.083 Sc
0.880 0.750 0.753 Sc
0.129 0.250 0.583 U
0.371 0.750 0.083 U
0.629 0.250 0.917 U
0.871 0.750 0.417 U
0.123 0.750 0.248 N
0.131 0.750 0.922 N
0.134 0.750 0.587 N
0.366 0.250 0.087 N
0.369 0.250 0.422 N
0.377 0.250 0.748 N
0.623 0.750 0.252 N
0.631 0.750 0.578 N
0.634 0.750 0.913 N
0.866 0.250 0.413 N
0.869 0.250 0.078 N
0.877 0.250 0.752 N
```

11.
Entry from Alexandria via LeMat-Bulk: ScUN2 after structural relaxation (GGA-PBE).

Output
**Symmetry**: P6_3/mmc (194)
**Uncorrected formation energy**: -6.02 eV/f.u.
**Crystal system**: hexagonal

Cell and atoms, written as POSCAR:
```
ScUN2
1.0
3.306 0.000 0.000
-1.653 2.863 0.000
0.000 0.000 11.078
Sc U N
2 2 4
direct
0.333 0.667 0.250 Sc
0.667 0.333 0.750 Sc
0.000 0.000 0.000 U
0.000 0.000 0.500 U
0.333 0.667 0.626 N
0.333 0.667 0.874 N
0.667 0.333 0.126 N
0.667 0.333 0.374 N
```

12.
Entry from Alexandria via LeMat-Bulk: ScUN after structural relaxation (GGA-PBE).

Output
**Symmetry**: I4mm (107)
**Uncorrected formation energy**: 1.47 eV/f.u.
**Crystal system**: tetragonal

Cell and atoms, written as POSCAR:
```
ScUN
1.0
-2.108 2.108 3.626
2.108 -2.108 3.626
2.108 2.108 -3.626
Sc U N
1 1 1
direct
0.000 0.000 0.000 Sc
0.445 0.445 0.000 U
0.723 0.723 0.000 N
```

13.
Entry from Alexandria via LeMat-Bulk: ScUN2 after structural relaxation (GGA-PBE).

Output
**Symmetry**: R3m (160)
**Uncorrected formation energy**: -5.22 eV/f.u.
**Crystal system**: trigonal

Cell and atoms, written as POSCAR:
```
ScUN2
1.0
1.625 0.938 5.784
-1.625 0.938 5.784
0.000 -1.876 5.784
Sc U N
1 1 2
direct
0.000 0.000 0.000 Sc
0.176 0.176 0.176 U
0.596 0.596 0.596 N
0.758 0.758 0.758 N
```

14.
Entry from Alexandria via LeMat-Bulk: ScUN after structural relaxation (GGA-PBE).

Output
**Symmetry**: R-3m (166)
**Uncorrected formation energy**: -2.67 eV/f.u.
**Crystal system**: trigonal

Cell and atoms, written as POSCAR:
```
ScUN
1.0
1.628 0.940 10.375
-1.628 0.940 10.375
0.000 -1.880 10.375
Sc U N
2 2 2
direct
0.118 0.118 0.118 Sc
0.882 0.882 0.882 Sc
0.302 0.302 0.302 U
0.698 0.698 0.698 U
0.415 0.415 0.415 N
0.585 0.585 0.585 N
```

15.
Entry from Alexandria via LeMat-Bulk: Y2ScUN4 after structural relaxation (GGA-PBE).

Output
**Symmetry**: P2/m (10)
**Uncorrected formation energy**: -13.13 eV/f.u.
**Crystal system**: monoclinic

Cell and atoms, written as POSCAR:
```
Y2ScUN4
1.0
5.835 0.000 0.000
0.000 3.410 0.000
-1.887 0.000 5.579
Y Sc U N
2 1 1 4
direct
0.000 0.000 0.000 Y
0.500 0.500 0.000 Y
0.000 0.500 0.500 Sc
0.500 0.000 0.500 U
0.251 0.000 0.727 N
0.253 0.500 0.268 N
0.747 0.500 0.732 N
0.749 0.000 0.273 N
```

16.
Entry from Alexandria via LeMat-Bulk: Zr3Sc2UN6 after structural relaxation (GGA-PBE).

Output
**Symmetry**: C2/m (12)
**Uncorrected formation energy**: -21.00 eV/f.u.
**Crystal system**: monoclinic

Cell and atoms, written as POSCAR:
```
Zr3Sc2UN6
1.0
2.830 -4.909 0.000
2.830 4.909 0.000
-1.868 0.000 5.347
Zr Sc U N
3 2 1 6
direct
0.000 0.000 0.000 Zr
0.328 0.672 0.000 Zr
0.672 0.328 0.000 Zr
0.167 0.833 0.500 Sc
0.833 0.167 0.500 Sc
0.500 0.500 0.500 U
0.087 0.419 0.255 N
0.251 0.251 0.744 N
0.419 0.087 0.255 N
0.581 0.913 0.745 N
0.749 0.749 0.256 N
0.913 0.581 0.745 N
```

17.
Entry from Alexandria via LeMat-Bulk: Zr2ScUN4 after structural relaxation (GGA-PBE).

Output
**Symmetry**: P2/m (10)
**Uncorrected formation energy**: -13.52 eV/f.u.
**Crystal system**: monoclinic

Cell and atoms, written as POSCAR:
```
Zr2ScUN4
1.0
5.680 0.000 0.000
0.000 3.299 0.000
-1.867 0.000 5.384
Zr Sc U N
2 1 1 4
direct
0.000 0.000 0.000 Zr
0.000 0.500 0.500 Zr
0.500 0.000 0.500 Sc
0.500 0.500 0.000 U
0.251 0.000 0.744 N
0.255 0.500 0.251 N
0.745 0.500 0.749 N
0.749 0.000 0.256 N
```

18.
Entry from Alexandria via LeMat-Bulk: ZrSc2UN4 after structural relaxation (GGA-PBE).

Output
**Symmetry**: I-4m2 (119)
**Uncorrected formation energy**: -13.66 eV/f.u.
**Crystal system**: tetragonal

Cell and atoms, written as POSCAR:
```
ZrSc2UN4
1.0
-2.327 2.327 4.622
2.327 -2.327 4.622
2.327 2.327 -4.622
Zr Sc U N
1 2 1 4
direct
0.000 0.000 0.000 Zr
0.500 0.500 0.000 Sc
0.750 0.250 0.500 Sc
0.250 0.750 0.500 U
0.005 0.505 0.500 N
0.252 0.252 0.000 N
0.495 0.995 0.500 N
0.748 0.748 0.000 N
```

19.
Entry from Alexandria via LeMat-Bulk: Zr2Sc3UN6 after structural relaxation (GGA-PBE).

Output
**Symmetry**: C2/m (12)
**Uncorrected formation energy**: -21.23 eV/f.u.
**Crystal system**: monoclinic

Cell and atoms, written as POSCAR:
```
Zr2Sc3UN6
1.0
2.822 -4.900 0.000
2.822 4.900 0.000
-1.855 0.000 5.326
Zr Sc U N
2 3 1 6
direct
0.167 0.833 0.000 Zr
0.833 0.167 0.000 Zr
0.000 0.000 0.500 Sc
0.330 0.670 0.500 Sc
0.670 0.330 0.500 Sc
0.500 0.500 0.000 U
0.089 0.416 0.746 N
0.257 0.257 0.248 N
0.416 0.089 0.746 N
0.584 0.911 0.254 N
0.743 0.743 0.752 N
0.911 0.584 0.254 N
```

20.
Entry from Alexandria via LeMat-Bulk: ScVN2 after structural relaxation (GGA-PBE).

Output
**Symmetry**: Fm-3m (225)
**Uncorrected formation energy**: -2.32 eV/f.u.
**Crystal system**: cubic

Cell and atoms, written as POSCAR:
```
ScVN2
1.0
0.000 2.687 2.687
2.687 0.000 2.687
2.687 2.687 0.000
Sc V N
1 1 2
direct
0.000 0.000 0.000 Sc
0.500 0.500 0.500 V
0.250 0.250 0.250 N
0.750 0.750 0.750 N
```

21.
Entry from Alexandria via LeMat-Bulk: ScV2N after structural relaxation (GGA-PBE).

Output
**Symmetry**: I-42d (122)
**Uncorrected formation energy**: -0.51 eV/f.u.
**Crystal system**: tetragonal

Cell and atoms, written as POSCAR:
```
ScV2N
1.0
-2.936 2.936 4.149
2.936 -2.936 4.149
2.936 2.936 -4.149
Sc V N
2 4 2
direct
0.000 0.000 0.000 Sc
0.750 0.250 0.500 Sc
0.368 0.125 0.743 V
0.375 0.632 0.757 V
0.382 0.625 0.257 V
0.875 0.618 0.243 V
0.250 0.750 0.500 N
0.500 0.500 0.000 N
```

22.
Entry from Alexandria via LeMat-Bulk: Sc2VN after structural relaxation (GGA-PBE).

Output
**Symmetry**: R-3m (166)
**Uncorrected formation energy**: 1.63 eV/f.u.
**Crystal system**: trigonal

Cell and atoms, written as POSCAR:
```
Sc2VN
1.0
1.728 0.997 8.206
-1.728 0.997 8.206
0.000 -1.995 8.206
Sc V N
2 1 1
direct
0.075 0.075 0.075 Sc
0.925 0.925 0.925 Sc
0.500 0.500 0.500 V
0.000 0.000 0.000 N
```

23.
Entry from Alexandria via LeMat-Bulk: Sc2VN after structural relaxation (GGA-PBE).

Output
**Symmetry**: R-3m (166)
**Uncorrected formation energy**: -2.13 eV/f.u.
**Crystal system**: trigonal

Cell and atoms, written as POSCAR:
```
Sc2VN
1.0
1.550 0.895 7.901
-1.550 0.895 7.901
0.000 -1.790 7.901
Sc V N
2 1 1
direct
0.114 0.114 0.114 Sc
0.886 0.886 0.886 Sc
0.000 0.000 0.000 V
0.500 0.500 0.500 N
```